# 1
A plane-wave DFT calculation with GGA-PBE was carried out for crystalline Hf4In2Pt at its relaxed geometry.

a b c (Å): 8.284 8.284 8.284
angles (deg): 145.28 145.28 49.92
Element x y z (fractional)
Hf  0.000  0.500  0.500
Hf  0.175  0.175  0.000
Hf  0.500  0.000  0.500
Hf  0.825  0.825  0.000
In  0.368  0.368  0.000
In  0.632  0.632  0.000
Pt  0.000  0.000  0.000

- E_tot (eV/atom) = -7.0820
- D(E_F) (states/eV per cell) = 6.69

---

# 2
A plane-wave DFT calculation with GGA-PBE was carried out for crystalline Hf2In2Pt at its relaxed geometry.

a b c (Å): 6.905 6.905 4.401
angles (deg): 90.00 90.00 90.00
Element x y z (fractional)
Hf  0.166  0.334  0.000
Hf  0.334  0.834  0.000
Hf  0.666  0.166  0.000
Hf  0.834  0.666  0.000
In  0.142  0.642  0.500
In  0.358  0.142  0.500
In  0.642  0.858  0.500
In  0.858  0.358  0.500
Pt  0.000  0.000  0.500
Pt  0.500  0.500  0.500

- E_tot (eV/atom) = -6.5158
- D(E_F) (states/eV per cell) = 3.79

---

Number 1: energy of formation 0.251 eV/atom. Number 2: energy of formation -0.231 eV/atom.